The following is a DFT calculation (PBE) of a relaxed PaCdPd5 crystal.

Calculated values
Crystal system: orthorhombic
Density, g/cm³: 11.1
DFT total energy, eV per atom: -5.683

Unit cell a=5.6998 b=8.0053 c=5.7519 alpha=90.00 beta=90.00 gamma=90.00
Closest atoms and distances in Å follow each position.
Space group Cmmm (No. 65)
Inequivalent atoms, fractional coordinates:
Pa (0.0000, 0.0000, 0.0000) x2  10 Pd 2.85-2.86
Cd (0.0000, 0.5000, 0.5000) x2  10 Pd 2.83-2.88
Pd (0.0000, 0.5000, 0.0000) x2  2 Pa 2.85, 8 Pd 2.86, 2 Cd 2.88
Pd (0.2500, 0.2500, 0.2546) x8  6 Pd 2.82-2.93, 2 Cd 2.83, 2 Pa 2.86


The following is a DFT calculation (PBE) of a relaxed PaCd3Pd6 crystal.

Calculated values
Crystal system: monoclinic
Density, g/cm³: 11.2
DFT total energy, eV per atom: -4.823

Unit cell a=8.7802 b=4.3122 c=9.4960 alpha=90.00 beta=95.41 gamma=90.00
Closest atoms and distances in Å follow each position.
Space group P2_1/m (No. 11)
Inequivalent atoms, fractional coordinates:
Pa (0.0610, 0.2500, 0.3706) x2  9 Pd 2.73-3.05
Cd (0.2508, 0.2500, 0.0099) x2  10 Pd 2.83-3.04, 2 Cd 3.06
Cd (0.3496, 0.7500, 0.8085) x2  8 Pd 2.84-2.94, 4 Cd 3.06-3.10
Cd (0.4514, 0.2500, 0.6026) x2  8 Pd 2.84-2.93, 4 Cd 3.08-3.10
Pd (0.0505, 0.7500, 0.9077) x2  1 Pa 2.73, 4 Cd 2.83-2.89, 5 Pd 2.91-2.97
Pd (0.1499, 0.2500, 0.7013) x2  5 Pd 2.87-3.09, 3 Pa 2.88-3.16, 4 Cd 2.89-2.98
Pd (0.1533, 0.7500, 0.2083) x2  2 Pa 2.81, 8 Pd 2.86-2.95, 2 Cd 3.04
Pd (0.2467, 0.7500, 0.5051) x2  5 Pd 2.86-3.11, 4 Cd 2.90-2.94, 3 Pa 2.92-3.05
Pd (0.3564, 0.2500, 0.3012) x2  1 Pa 2.74, 5 Cd 2.83-2.90, 4 Pd 2.88-3.04
Pd (0.4508, 0.7500, 0.1017) x2  7 Cd 2.84-2.92, 5 Pd 2.89-3.07


The following is a DFT calculation (PBE) of a relaxed PaCdPd3 crystal.

Calculated values
Crystal system: monoclinic
Density, g/cm³: 11.5
DFT total energy, eV per atom: -5.654

Unit cell a=6.3189 b=7.5865 c=9.7294 alpha=90.00 beta=124.74 gamma=90.00
Closest atoms and distances in Å follow each position.
Space group P2_1/c (No. 14)
Inequivalent atoms, fractional coordinates:
Pa (0.2157, 0.0946, 0.3030) x4  4 Pd 2.66-2.91
Cd (0.1332, 0.6804, 0.0468) x4  6 Pd 2.73-2.98
Pd (0.1889, 0.0617, 0.9712) x4  1 Pa 2.70, 5 Pd 2.71-3.01, 1 Cd 2.76
Pd (0.3650, 0.7432, 0.3885) x4  4 Pd 2.71-2.99, 2 Cd 2.73-2.81, 2 Pa 2.79-2.91
Pd (0.3858, 0.1066, 0.7552) x4  1 Pa 2.66, 2 Cd 2.78-2.95, 2 Pd 2.79-2.87


The following is a DFT calculation (PBE) of a relaxed Pa2CdPd9 crystal.

Calculated values
Crystal system: tetragonal
Density, g/cm³: 12.2
DFT total energy, eV per atom: -6.237

Unit cell a=4.1316 b=4.1316 c=12.2001 alpha=90.00 beta=90.00 gamma=90.00
Closest atoms and distances in Å follow each position.
Space group P4/mmm (No. 123)
Inequivalent atoms, fractional coordinates:
Pa (0.0000, 0.0000, 0.1753) x2  12 Pd 2.81-2.97
Cd (0.0000, 0.0000, 0.5000) x1  12 Pd 2.91-2.92
Pd (0.0000, 0.5000, 0.0000) x2  8 Pd 2.89-2.92, 4 Pa 2.97
Pd (0.0000, 0.5000, 0.3317) x4  2 Pa 2.81, 8 Pd 2.89-2.92, 2 Cd 2.91
Pd (0.5000, 0.5000, 0.1660) x2  8 Pd 2.89, 4 Pa 2.92
Pd (0.5000, 0.5000, 0.5000) x1  8 Pd 2.91, 4 Cd 2.92


The following is a DFT calculation (PBE) of a relaxed PaCd2Pd6 crystal.

Calculated values
Crystal system: orthorhombic
Density, g/cm³: 10.8
DFT total energy, eV per atom: -5.043

Unit cell a=3.8339 b=12.9280 c=6.7906 alpha=90.00 beta=90.00 gamma=90.00
Closest atoms and distances in Å follow each position.
Space group Amm2 (No. 38)
Inequivalent atoms, fractional coordinates:
Pa (0.0000, 0.0000, 0.0000) x2  7 Pd 2.68-2.84
Cd (0.5000, 0.1514, 0.6252) x4  7 Pd 2.65-2.90
Pd (0.0000, 0.0000, 0.6057) x2  1 Pa 2.68, 4 Cd 2.74, 2 Pd 2.78
Pd (0.0000, 0.1904, 0.3198) x4  7 Pd 2.83-3.14, 4 Cd 2.87-3.10
Pd (0.5000, 0.0000, 0.3093) x2  4 Pd 2.76-2.78, 2 Pa 2.84, 2 Cd 2.90
Pd (0.5000, 0.1509, 0.0220) x4  2 Cd 2.65-2.69, 2 Pa 2.74, 3 Pd 2.76-2.83


The following is a DFT calculation (PBE) of a relaxed PaCdPd crystal.

Calculated values
Crystal system: orthorhombic
Density, g/cm³: 11.7
DFT total energy, eV per atom: -5.319

Unit cell a=3.3653 b=5.1114 c=14.7951 alpha=90.00 beta=90.00 gamma=90.00
Closest atoms and distances in Å follow each position.
Space group Fmm2 (No. 42)
Inequivalent atoms, fractional coordinates:
Pa (0.0000, 0.0000, 0.0000) x4  2 Pd 2.85, 4 Pa 3.06
Cd (0.0000, 0.0000, 0.3095) x4  2 Pd 2.83, 4 Cd 3.06
Pd (0.0000, 0.0000, 0.6555) x4  2 Cd 2.83, 2 Pa 2.85, 4 Pd 3.06


The following is a DFT calculation (PBE) of a relaxed Pa2CdPd5 crystal.

Calculated values
Crystal system: tetragonal
Density, g/cm³: 12.1
DFT total energy, eV per atom: -6.204

Unit cell a=6.5172 b=6.5172 c=7.1531 alpha=90.00 beta=90.00 gamma=90.00
Closest atoms and distances in Å follow each position.
Space group I4mm (No. 107)
Inequivalent atoms, fractional coordinates:
Pa (0.0000, 0.5000, 0.0000) x4  8 Pd 2.90-2.97
Cd (0.0000, 0.0000, 0.0842) x2  5 Pd 2.73-2.91
Pd (0.0000, 0.0000, 0.4655) x2  1 Cd 2.73, 8 Pd 2.87-3.03
Pd (0.2143, 0.2143, 0.7573) x8  4 Pd 2.79-3.03, 4 Pa 2.90-2.97, 2 Cd 2.91-3.06


The following is a DFT calculation (PBE) of a relaxed PaCdPd2 crystal.

Calculated values
Crystal system: trigonal
Density, g/cm³: 11.9
DFT total energy, eV per atom: -5.452

Unit cell a=3.0782 b=3.0782 c=28.3069 alpha=90.00 beta=90.00 gamma=120.00
Closest atoms and distances in Å follow each position.
Space group R-3m (No. 166, hexagonal axes)
Inequivalent atoms, fractional coordinates:
Pa (0.0000, 0.0000, 0.0000) x3  6 Pd 3.02, 6 Pa 3.08
Cd (0.0000, 0.0000, 0.5000) x3  6 Pd 2.89, 6 Cd 3.08
Pd (0.0000, 0.0000, 0.2471) x6  3 Cd 2.89, 3 Pa 3.02, 6 Pd 3.08


The following is a DFT calculation (PBE) of a relaxed PaCdPd crystal.

Calculated values
Crystal system: orthorhombic
Density, g/cm³: 11.9
DFT total energy, eV per atom: -5.492

Unit cell a=3.6598 b=15.1725 c=4.5233 alpha=90.00 beta=90.00 gamma=90.00
Closest atoms and distances in Å follow each position.
Space group Cmcm (No. 63)
Inequivalent atoms, fractional coordinates:
Pa (0.0000, 0.0610, 0.2500) x4  2 Pa 2.92, 6 Pd 2.99-3.14
Cd (0.0000, 0.2546, 0.7500) x4  4 Pd 2.89-3.09, 4 Cd 2.91
Pd (0.0000, 0.3931, 0.2500) x4  4 Cd 2.89-3.09, 6 Pa 2.99-3.14


The following is a DFT calculation (PBE) of a relaxed Pa2CdPd crystal.

Calculated values
Crystal system: tetragonal
Density, g/cm³: 12.0
DFT total energy, eV per atom: -6.282

Unit cell a=3.8036 b=3.8036 c=6.5181 alpha=90.00 beta=90.00 gamma=90.00
Closest atoms and distances in Å follow each position.
Space group P4/mmm (No. 123)
Inequivalent atoms, fractional coordinates:
Pa (0.0000, 0.0000, 0.2121) x2  1 Pa 2.77, 4 Pd 3.02
Cd (0.5000, 0.5000, 0.5000) x1  2 Pd 3.26, 8 Pa 3.28
Pd (0.5000, 0.5000, 0.0000) x1  8 Pa 3.02, 2 Cd 3.26


The following is a DFT calculation (PBE) of a relaxed PaCd5Pd6 crystal.

Calculated values
Crystal system: orthorhombic
Density, g/cm³: 10.8
DFT total energy, eV per atom: -4.199

Unit cell a=4.6688 b=14.0233 c=6.7530 alpha=90.00 beta=90.00 gamma=90.00
Closest atoms and distances in Å follow each position.
Space group Cmmm (No. 65)
Inequivalent atoms, fractional coordinates:
Pa (0.0000, 0.0000, 0.0000) x2  8 Pd 2.80-2.87
Cd (0.0000, 0.0000, 0.5000) x2  8 Pd 2.81-2.89
Cd (0.0000, 0.3259, 0.0000) x4  8 Pd 2.87-2.96, 2 Cd 3.16
Cd (0.0000, 0.3323, 0.5000) x4  8 Pd 2.89-2.95
Pd (0.0000, 0.1598, 0.2488) x8  1 Pa 2.80, 7 Cd 2.81-2.95
Pd (0.0000, 0.5000, 0.2476) x4  2 Pa 2.87, 6 Cd 2.89-2.96


The following is a DFT calculation (PBE) of a relaxed Pa2CdPd crystal.

Calculated values
Crystal system: trigonal
Density, g/cm³: 11.9
DFT total energy, eV per atom: -6.151

Unit cell a=3.0930 b=3.0930 c=34.4983 alpha=90.00 beta=90.00 gamma=120.00
Closest atoms and distances in Å follow each position.
Space group R-3m (No. 166, hexagonal axes)
Inequivalent atoms, fractional coordinates:
Pa (0.0000, 0.0000, 0.0952) x6  3 Pd 3.04, 6 Pa 3.09, 1 Cd 3.29
Cd (0.0000, 0.0000, 0.0000) x3  6 Cd 3.09, 2 Pa 3.29
Pd (0.0000, 0.0000, 0.5000) x3  6 Pa 3.04, 6 Pd 3.09


The following is a DFT calculation (PBE) of a relaxed PaCdPd14 crystal.

Calculated values
Crystal system: tetragonal
Density, g/cm³: 11.7
DFT total energy, eV per atom: -5.519

Unit cell a=5.7768 b=5.7768 c=7.7821 alpha=90.00 beta=90.00 gamma=90.00
Closest atoms and distances in Å follow each position.
Space group P4/mmm (No. 123)
Inequivalent atoms, fractional coordinates:
Pa (0.0000, 0.0000, 0.0000) x1  12 Pd 2.82-2.89
Cd (0.5000, 0.5000, 0.0000) x1  12 Pd 2.85-2.89
Pd (0.0000, 0.0000, 0.5000) x1  12 Pd 2.79-2.89
Pd (0.0000, 0.5000, 0.0000) x2  8 Pd 2.83, 2 Cd 2.89, 2 Pa 2.89
Pd (0.0000, 0.5000, 0.5000) x2  12 Pd 2.81-2.89
Pd (0.2477, 0.2477, 0.2525) x8  10 Pd 2.79-2.92, 1 Pa 2.82, 1 Cd 2.85
Pd (0.5000, 0.5000, 0.5000) x1  12 Pd 2.82-2.89